Record 1
Material: Ca3Pr4Tl4
Method: DFT, PBE
State: relaxed

a b c (Å): 3.778 9.756 19.662
angles (deg): 90.00 90.00 90.00
Space group Immm (No. 71)
Inequivalent atoms, fractional coordinates:
Ca1 0.000 0.000 0.000 x2
Ca2 0.000 0.500 0.094 x4
Pr1 0.000 0.321 0.335 x8
Tl1 0.000 0.000 0.273 x4
Tl2 0.000 0.219 0.500 x4

Properties
* DFT formation energy: -0.24 eV per atom
* raw total energy: -3.385 eV/atom

Record 2
Material: CaPr4Tl5
Method: DFT, PBE
State: relaxed

a b c (Å): 3.844 3.844 20.400
angles (deg): 90.00 90.00 90.00
Space group P4/mmm (No. 123)
Inequivalent atoms, fractional coordinates:
Ca1 0.000 0.000 0.000 x1
Pr1 0.000 0.000 0.195 x2
Pr2 0.000 0.000 0.399 x2
Tl1 0.500 0.500 0.096 x2
Tl2 0.500 0.500 0.298 x2
Tl3 0.500 0.500 0.500 x1

Properties
* DFT formation energy: -0.40 eV per atom
* raw total energy: -3.695 eV/atom

| no. | N(E_F) (states/eV/cell) | density (g cm⁻³) |
| --- | --- | --- |
| 1 | 28.27 | 6.9 |
| 2 | 8.43 | 9.0 |